A plane-wave DFT calculation with PBE with a Hubbard U was carried out for an optimized crystal structure of Li7Mn2Co3O12.

Lattice parameters (Å, degrees): 5.040 5.166 8.699 73.83 85.88 80.44
Sites, in units of the cell vectors:
Li1 0.762 0.245 0.740
Li2 0.258 0.083 0.915
Li3 0.241 0.425 0.573
Li4 0.759 0.575 0.427
Li5 0.238 0.755 0.260
Li6 0.742 0.917 0.085
Li7 0.000 0.000 0.500
Mn1 0.999 0.671 0.829
Mn2 0.001 0.329 0.171
Co1 0.500 0.500 0.000
Co2 0.508 0.166 0.342
Co3 0.492 0.834 0.658
O1 0.128 0.001 0.724
O2 0.646 0.861 0.865
O3 0.603 0.204 0.536
O4 0.120 0.377 0.359
O5 0.639 0.526 0.194
O6 0.130 0.675 0.039
O7 0.361 0.474 0.806
O8 0.870 0.325 0.961
O9 0.880 0.623 0.641
O10 0.397 0.796 0.464
O11 0.872 0.999 0.276
O12 0.354 0.139 0.135

Calculated values
As for the crystal system: triclinic. The calculation puts the polymorph energy (0 for the lowest one) at 26.5 meV/atom. As for the total moment: 16.00 μB/f.u.